[1]
{
  "formula": "ScVZnOs",
  "functional": "PBE",
  "state": "relaxed",
  "formation_energy_ev_per_atom": -0.1888,
  "magnetic_moment_mub_per_cell": 0.0,
  "dft_energy_ev_per_cell": -28.7,
  "space_group": "No. 216",
  "lattice_angstrom": [[0.000, 3.138, 3.138], [3.138, 0.000, 3.138], [3.138, 3.138, 0.000]],
  "species": ["Sc", "V", "Zn", "Os"],
  "frac_coords": [[0.000, 0.000, 0.000], [0.500, 0.500, 0.500], [0.750, 0.750, 0.750], [0.250, 0.250, 0.250]]
}

***

[2]
{
  "formula": "BAs2OsSe",
  "functional": "PBE",
  "state": "relaxed",
  "raw_formation_energy_ev_per_fu": 7.23,
  "magnetic_moment_mub_per_cell": 0.0,
  "polymorph_energy_ev_per_atom": 0.284,
  "dft_energy_ev_per_cell": -23.5,
  "space_group": "No. 123",
  "lattice_angstrom": [[4.644, 0.000, 0.000], [0.000, 4.644, 0.000], [0.000, 0.000, 5.464]],
  "species": ["B", "As", "As", "Os", "Se"],
  "frac_coords": [[0.000, 0.000, 0.000], [0.000, 0.500, 0.500], [0.500, 0.000, 0.500], [0.500, 0.500, 0.500], [0.500, 0.500, 0.000]]
}

***

What did the first record say?
{
  "formula": "ScVZnOs",
  "functional": "PBE",
  "state": "relaxed",
  "formation_energy_ev_per_atom": -0.1888,
  "magnetic_moment_mub_per_cell": 0.0,
  "dft_energy_ev_per_cell": -28.7,
  "space_group": "No. 216",
  "lattice_angstrom": [[0.000, 3.138, 3.138], [3.138, 0.000, 3.138], [3.138, 3.138, 0.000]],
  "species": ["Sc", "V", "Zn", "Os"],
  "frac_coords": [[0.000, 0.000, 0.000], [0.500, 0.500, 0.500], [0.750, 0.750, 0.750], [0.250, 0.250, 0.250]]
}